ReNi3Rh4: optimized geometry, PBE-GGA.

```
data_ReNi3Rh4
_symmetry_space_group_name_H-M 'P 1'
_symmetry_Int_Tables_number 1
_symmetry_space_group_name_Hall 'P 1'
_cell_length_a 2.669
_cell_length_b 9.628
_cell_length_c 10.246
_cell_angle_alpha 154.44
_cell_angle_beta 97.48
_cell_angle_gamma 90.00
loop_
_atom_site_label
_atom_site_type_symbol
_atom_site_fract_x
_atom_site_fract_y
_atom_site_fract_z
Re1 Re 0.000 0.000 0.000
Ni1 Ni 0.500 0.500 0.000
Ni2 Ni 0.261 0.631 0.522
Rh1 Rh 0.480 0.724 0.959
Rh2 Rh 0.763 0.145 0.526
Rh3 Rh 0.237 0.855 0.474
Ni3 Ni 0.739 0.369 0.478
Rh4 Rh 0.520 0.276 0.041
```

Values from the calculation:
* total moment: 0.00 μB/atom
* relative energy among the computed polymorphs: 0.119 eV/atom
* density: 11.9 g/cm³
* energy of formation from the pure elements: 74 kJ/mol of formula units
* E_tot: -58.4 eV per cell